Density functional theory data (PBE) for crystalline Sr3Sb2Pd at its relaxed geometry.

Geometry as CIF:
```
data_Sr3Sb2Pd
_symmetry_space_group_name_H-M 'P n m a'
_symmetry_Int_Tables_number 62
_cell_length_a 12.9203
_cell_length_b 4.7682
_cell_length_c 12.6805
_cell_angle_alpha 90.00
_cell_angle_beta 90.00
_cell_angle_gamma 90.00
loop_
_symmetry_equiv_pos_as_xyz
'x,y,z'
'-x,-y,-z'
'-x+1/2,-y,z+1/2'
'x+1/2,y,-z+1/2'
'x+1/2,-y+1/2,-z+1/2'
'-x+1/2,y+1/2,z+1/2'
'-x,y+1/2,-z'
'x,-y+1/2,z'
loop_
_atom_site_label
_atom_site_type_symbol
_atom_site_fract_x
_atom_site_fract_y
_atom_site_fract_z
Sr1 Sr 0.0545 0.2500 0.1239
Sr2 Sr 0.1164 0.7500 0.5512
Sr3 Sr 0.2223 0.2500 0.8028
Sb1 Sb 0.0165 0.7500 0.3092
Sb2 Sb 0.1968 0.7500 0.9943
Pd1 Pd 0.1247 0.2500 0.3663
```

Properties
total moment = 0.00 μB/f.u.
D(E_F) = 1.23 states/eV per cell
raw formation energy = -0.996 eV/atom
ρ = 5.21 g/cm3